4
Lattice="4.309 0.000 0.000 2.154 3.731 0.000 2.154 1.244 3.518" Properties=species:S:1:pos:R:3 comment="PBEsol MgOsRh2, optimized geometry" magmom_total_mub_per_cell=0.00 space_group="No. 216" e_tot_ev_per_cell=-29.32 vol_a3_per_atom=14.14 pbc="T T T"
Os 2.154 1.244 0.880
Rh 6.463 3.731 2.639
Rh 0.000 0.000 0.000
Mg 4.309 2.488 1.759


5
Lattice="5.247 0.000 0.000 0.000 5.285 0.000 0.000 0.000 5.285" Properties=species:S:1:pos:R:3 comment="PBEsol YFeSiBi2, optimized geometry" magmom_total_mub_per_cell=3.19 space_group="No. 123" formation_energy_uncorrected_ev_per_fu=4.17 e_tot_ev_per_cell=-25.94 vol_a3_per_atom=29.31 pbc="T T T"
Si 0.000 0.000 0.000
Bi 0.000 2.643 0.000
Bi 0.000 0.000 2.643
Fe 2.623 2.643 2.643
Y 2.623 0.000 0.000


5
Lattice="-2.450 -2.023 -2.264 4.197 -0.159 -4.400 2.189 -5.199 2.276" Properties=species:S:1:pos:R:3 comment="PBEsol Sr2HfBAs, optimized geometry" magmom_total_mub_per_cell=2.80 space_group="No. 123" e_tot_ev_per_cell=-21.94 vol_a3_per_atom=28.87 pbc="T T T"
B -1.225 -1.011 -1.132
Sr 1.094 -2.600 1.138
Sr 2.099 -0.080 -2.200
As 0.000 0.000 0.000
Hf 1.968 -3.691 -2.194


5
Lattice="-2.822 3.307 0.174 -0.885 -0.522 -4.432 -3.347 -2.910 1.011" Properties=species:S:1:pos:R:3 comment="PBEsol Zr2ZnFeIr, optimized geometry" magmom_total_mub_per_cell=0.00 space_group="No. 123" e_tot_ev_per_cell=-36.93 vol_a3_per_atom=18.01 pbc="T T T"
Zr -0.442 -0.261 -2.216
Zr -1.674 -1.455 0.505
Ir -3.527 -0.063 -1.623
Zn -1.411 1.653 0.087
Fe 0.000 0.000 0.000